Entry 1:
{"formula": "Sc2Pb", "functional": "meta-GGA SCAN", "state": "single point on PBEsol structure", "magnetic_moment_mub_per_cell": 3.2, "formation_enthalpy_0k_mev_per_atom": -565, "rho_g_cm3": 7.3, "cell": [[-2.007, -3.130, 3.404], [3.860, -1.527, -2.862], [3.957, 2.068, 4.234]], "species": ["Pb", "Pb", "Sc", "Sc", "Sc", "Sc"], "frac_coords": [[0.667, 0.333, 0.750], [0.333, 0.667, 0.250], [0.000, 0.000, 0.500], [0.667, 0.333, 0.250], [0.000, 0.000, 0.000], [0.333, 0.667, 0.750]]}

Entry 2:
{"formula": "Sc4Pb", "functional": "meta-GGA SCAN", "state": "single point on PBEsol structure", "magnetic_moment_mub_per_cell": 1.5, "formation_enthalpy_0k_mev_per_atom": -292, "rho_g_cm3": 5.7, "cell": [[4.332, 0.000, 0.000], [2.166, 5.123, 0.000], [2.166, 0.000, 5.123]], "species": ["Sc", "Sc", "Sc", "Sc", "Pb"], "frac_coords": [[0.610, 0.196, 0.584], [0.806, 0.584, 0.804], [0.390, 0.804, 0.416], [0.194, 0.416, 0.196], [0.000, 0.000, 0.000]]}

Entry 3:
{"formula": "ScPb5", "functional": "meta-GGA SCAN", "state": "single point on PBEsol structure", "magnetic_moment_mub_per_cell": 0.0, "formation_enthalpy_0k_mev_per_atom": -108, "rho_g_cm3": 10.9, "cell": [[3.508, 0.000, 0.000], [0.000, 5.424, 0.000], [-1.754, 0.000, 8.678]], "species": ["Pb", "Pb", "Pb", "Pb", "Pb", "Sc"], "frac_coords": [[0.777, 0.500, 0.555], [0.330, 0.000, 0.660], [0.459, 0.500, 0.919], [0.653, 0.000, 0.307], [0.996, 0.000, 0.992], [0.117, 0.500, 0.234]]}

Entry 4:
{"formula": "Sc2Pb", "functional": "meta-GGA SCAN", "state": "single point on PBEsol structure", "magnetic_moment_mub_per_cell": 0.0, "formation_enthalpy_0k_mev_per_atom": -561, "rho_g_cm3": 7.0, "cell": [[3.963, 0.000, 0.000], [0.000, 7.867, 0.000], [0.000, -3.934, 6.813]], "species": ["Sc", "Sc", "Sc", "Sc", "Sc", "Sc", "Pb", "Pb", "Pb"], "frac_coords": [[0.000, 0.731, 0.731], [0.000, 0.269, 0.000], [0.500, 0.000, 0.605], [0.500, 0.395, 0.395], [0.000, 0.000, 0.269], [0.500, 0.605, 0.000], [0.500, 0.000, 0.000], [0.000, 0.667, 0.333], [0.000, 0.333, 0.667]]}

Entry 5:
{"formula": "ScPb4", "functional": "meta-GGA SCAN", "state": "single point on PBEsol structure", "magnetic_moment_mub_per_cell": 0.0, "formation_enthalpy_0k_mev_per_atom": -242, "rho_g_cm3": 9.5, "cell": [[5.832, 0.000, 0.000], [-1.944, 5.499, 0.000], [-1.944, -2.749, 4.762]], "species": ["Pb", "Pb", "Pb", "Pb", "Sc"], "frac_coords": [[0.000, 0.500, 0.000], [0.500, 0.000, 0.000], [0.500, 0.500, 0.500], [0.000, 0.000, 0.500], [0.000, 0.000, 0.000]]}

Entry 6:
{"formula": "ScPb8", "functional": "meta-GGA SCAN", "state": "single point on PBEsol structure", "magnetic_moment_mub_per_cell": 0.0, "formation_enthalpy_0k_mev_per_atom": -74, "rho_g_cm3": 11.1, "cell": [[4.731, 0.000, 0.000], [2.366, 7.327, 0.000], [2.366, 0.000, 7.327]], "species": ["Pb", "Pb", "Pb", "Pb", "Pb", "Pb", "Pb", "Pb", "Sc"], "frac_coords": [[0.325, 0.675, 0.675], [0.675, 0.325, 0.325], [0.341, 0.000, 0.318], [0.659, 0.000, 0.682], [0.000, 0.675, 0.325], [0.000, 0.325, 0.675], [0.659, 0.682, 0.000], [0.341, 0.318, 0.000], [0.000, 0.000, 0.000]]}

Entry 7:
{"formula": "ScPb2", "functional": "meta-GGA SCAN", "state": "single point on PBEsol structure", "magnetic_moment_mub_per_cell": 0.0, "formation_enthalpy_0k_mev_per_atom": -354, "rho_g_cm3": 9.4, "cell": [[-0.853, 1.946, -5.577], [3.172, -5.039, 0.403], [-5.389, -1.140, 2.296]], "species": ["Sc", "Sc", "Pb", "Pb", "Pb", "Pb"], "frac_coords": [[0.750, 0.750, 0.000], [0.250, 0.250, 0.000], [0.305, 0.805, 0.111], [0.195, 0.305, 0.500], [0.805, 0.695, 0.500], [0.695, 0.195, 0.889]]}

Entry 8:
{"formula": "ScPb2", "functional": "meta-GGA SCAN", "state": "single point on PBEsol structure", "magnetic_moment_mub_per_cell": 0.0, "formation_enthalpy_0k_mev_per_atom": -371, "rho_g_cm3": 9.0, "cell": [[3.323, 0.000, 0.000], [0.000, 5.061, 0.000], [0.000, 0.000, 5.061]], "species": ["Pb", "Pb", "Sc"], "frac_coords": [[0.500, 0.500, 0.000], [0.500, 0.000, 0.500], [0.000, 0.000, 0.000]]}